# Y2TaFe

Y2TaFe after structural relaxation (PBE, the Alexandria database).

a b c (Å): 4.9028 4.9028 7.0548
angles (deg): 90.00 90.00 90.00
Closest atoms and distances in Å follow each position.
Space group I-4m2 (No. 119)
Asymmetric unit:
1 Y 0.0000 0.0000 0.0000 x2  4 Fe 3.02, 4 Y 3.02
2 Y 0.0000 0.5000 0.2500 x2  4 Y 3.02, 4 Ta 3.02
3 Ta 0.0000 0.0000 0.5000 x2  4 Fe 3.02, 4 Y 3.02
4 Fe 0.0000 0.5000 0.7500 x2  4 Ta 3.02, 4 Y 3.02

## Properties
Raw total energy ... -7.73 eV per atom
Total magnetization ... 0.29 μB/atom
Formation energy from the elements ... 2.3 eV per formula unit

# Y2TaFe

Y2TaFe after structural relaxation (PBE, the Alexandria database).

a b c (Å): 3.2758 3.2758 28.1599
angles (deg): 90.00 90.00 120.00
Closest atoms and distances in Å follow each position.
Space group R-3m (No. 166, hexagonal axes)
Asymmetric unit:
1 Y 0.0000 0.0000 0.2401 x6  3 Fe 2.80
2 Ta 0.0000 0.0000 0.0000 x3  6 Y 3.23, 6 Ta 3.28
3 Fe 0.0000 0.0000 0.5000 x3  6 Y 2.80

## Properties
Raw total energy ... -7.77 eV per atom
Total magnetization ... 0.27 μB/atom
Formation energy from the elements ... 2.2 eV per formula unit

# YTa2Fe

YTa2Fe after structural relaxation (PBE, the Alexandria database).

a b c (Å): 5.4414 9.9995 2.9451
angles (deg): 90.00 110.62 90.00
Closest atoms and distances in Å follow each position.
Space group C2/m (No. 12)
Asymmetric unit:
1 Y 0.0000 0.0000 0.0000 x2  2 Fe 2.72, 2 Y 2.95, 4 Ta 2.98
2 Ta 0.2500 0.2500 0.5000 x4  4 Ta 2.72-2.95, 2 Fe 2.98, 2 Y 2.98
3 Fe 0.0000 0.5000 0.0000 x2  2 Y 2.72, 2 Fe 2.95, 4 Ta 2.98

## Properties
Raw total energy ... -9.18 eV per atom
Total magnetization ... 0.35 μB/atom
Formation energy from the elements ... 1.9 eV per formula unit

# Y2TaFe

Y2TaFe after structural relaxation (PBE, the Alexandria database).

a b c (Å): 3.3748 5.0755 10.3070
angles (deg): 90.00 90.00 90.00
Closest atoms and distances in Å follow each position.
Space group Imm2 (No. 44)
Asymmetric unit:
1 Y 0.0000 0.0000 0.0000 x2  2 Fe 2.98, 4 Ta 3.20, 2 Y 3.33
2 Y 0.0000 0.5000 0.2085 x2  4 Fe 3.06, 2 Ta 3.24, 4 Y 3.33-3.37
3 Ta 0.0000 0.0000 0.4038 x2  2 Fe 2.40
4 Fe 0.0000 0.5000 0.7384 x2  2 Ta 2.40

## Properties
Raw total energy ... -8.16 eV per atom
Total magnetization ... 0.05 μB/atom
Formation energy from the elements ... 0.6 eV per formula unit

# YTa2Fe

YTa2Fe after structural relaxation (PBE, the Alexandria database).

a b c (Å): 3.1137 3.1137 27.3001
angles (deg): 90.00 90.00 120.00
Closest atoms and distances in Å follow each position.
Space group R-3m (No. 166, hexagonal axes)
Asymmetric unit:
1 Y 0.0000 0.0000 0.0000 x3  6 Y 3.11, 6 Ta 3.28
2 Ta 0.0000 0.0000 0.2328 x6  3 Fe 2.55
3 Fe 0.0000 0.0000 0.5000 x3  6 Ta 2.55

## Properties
Raw total energy ... -9.25 eV per atom
Total magnetization ... 0.15 μB/atom
Formation energy from the elements ... 1.6 eV per formula unit

# YTa2Fe

YTa2Fe after structural relaxation (PBE, the Alexandria database).

a b c (Å): 3.0914 3.0914 7.8869
angles (deg): 90.00 90.00 90.00
Closest atoms and distances in Å follow each position.
Space group P4mm (No. 99)
Asymmetric unit:
1 Y 0.0000 0.0000 0.0000 x1  4 Fe 3.02, 4 Y 3.09, 5 Ta 3.35-3.37
2 Ta 0.0000 0.0000 0.4277 x1  4 Fe 2.54
3 Ta 0.5000 0.5000 0.6777 x1  8 Ta 2.94-3.09, 1 Fe 3.26
4 Fe 0.5000 0.5000 0.2639 x1  4 Ta 2.54

## Properties
Raw total energy ... -9.52 eV per atom
Total magnetization ... 0.00 μB/atom
Formation energy from the elements ... 0.5 eV per formula unit

# YTa2Fe

YTa2Fe after structural relaxation (PBE, the Alexandria database).

a b c (Å): 3.2121 4.9509 9.3321
angles (deg): 90.00 90.00 90.00
Closest atoms and distances in Å follow each position.
Space group Imm2 (No. 44)
Asymmetric unit:
1 Y 0.0000 0.0000 0.0000 x2  2 Fe 2.79, 6 Ta 3.00-3.08
2 Ta 0.0000 0.0000 0.4427 x2  2 Fe 2.45
3 Ta 0.0000 0.5000 0.2183 x2  4 Fe 2.96, 6 Ta 3.03-3.24, 4 Y 3.08-3.21
4 Fe 0.0000 0.5000 0.7448 x2  2 Ta 2.45

## Properties
Raw total energy ... -9.29 eV per atom
Total magnetization ... 0.15 μB/atom
Formation energy from the elements ... 1.5 eV per formula unit

# Y2TaFe

Y2TaFe after structural relaxation (PBE, the Alexandria database).

a b c (Å): 4.5670 4.5670 8.5894
angles (deg): 90.00 90.00 90.00
Closest atoms and distances in Å follow each position.
Space group I4/mmm (No. 139)
Asymmetric unit:
1 Y 0.0000 0.5000 0.2500 x4  4 Ta 3.13, 4 Fe 3.13, 4 Y 3.23
2 Ta 0.0000 0.0000 0.0000 x2  8 Y 3.13, 4 Fe 3.23
3 Fe 0.0000 0.0000 0.5000 x2  8 Y 3.13, 4 Ta 3.23

## Properties
Raw total energy ... -7.75 eV per atom
Total magnetization ... 0.89 μB/atom
Formation energy from the elements ... 2.3 eV per formula unit

# YTa2Fe

YTa2Fe after structural relaxation (PBE, the Alexandria database).

a b c (Å): 3.1380 4.0205 6.3289
angles (deg): 90.00 100.16 90.00
Closest atoms and distances in Å follow each position.
Space group Pm (No. 6)
Asymmetric unit:
1 Y 0.0000 0.0000 0.0000 x1  2 Fe 2.95, 3 Ta 3.03-3.28, 2 Y 3.14
2 Ta 0.3709 0.5000 0.6648 x1  1 Fe 2.46
3 Ta 0.8312 0.0000 0.4576 x1  2 Fe 2.44
4 Fe 0.4834 0.5000 0.2894 x1  3 Ta 2.44-2.46

## Properties
Raw total energy ... -9.36 eV per atom
Total magnetization ... 0.00 μB/atom
Formation energy from the elements ... 1.2 eV per formula unit

# YTa2Fe

YTa2Fe after structural relaxation (PBE, the Alexandria database).

a b c (Å): 4.8367 4.8367 3.1129
angles (deg): 90.00 90.00 90.00
Closest atoms and distances in Å follow each position.
Space group P4/mmm (No. 123)
Asymmetric unit:
1 Y 0.0000 0.0000 0.0000 x1  8 Ta 2.88, 2 Y 3.11
2 Ta 0.0000 0.5000 0.5000 x2  4 Fe 2.88, 4 Y 2.88, 2 Ta 3.11
3 Fe 0.5000 0.5000 0.0000 x1  8 Ta 2.88, 2 Fe 3.11

## Properties
Raw total energy ... -9.02 eV per atom
Total magnetization ... 0.20 μB/atom
Formation energy from the elements ... 2.6 eV per formula unit

# Y2TaFe

Y2TaFe after structural relaxation (PBE, the Alexandria database).

a b c (Å): 3.2677 3.2690 8.2086
angles (deg): 90.00 90.06 90.00
Closest atoms and distances in Å follow each position.
Space group P2/m (No. 10)
Asymmetric unit:
1 Y 0.9999 0.0000 0.2237 x2  4 Fe 2.95, 4 Ta 3.24, 4 Y 3.27
2 Ta 0.5000 0.5000 0.5000 x1  8 Y 3.24, 4 Ta 3.27
3 Fe 0.5000 0.5000 0.0000 x1  8 Y 2.95, 4 Fe 3.27

## Properties
Raw total energy ... -7.91 eV per atom
Total magnetization ... 0.48 μB/atom
Formation energy from the elements ... 1.6 eV per formula unit

# YTaFe

YTaFe after structural relaxation (PBE, the Alexandria database).

a b c (Å): 4.0250 4.0250 4.5500
angles (deg): 90.00 90.00 120.00
Closest atoms and distances in Å follow each position.
Space group P-6m2 (No. 187)
Asymmetric unit:
1 Y 0.0000 0.0000 0.0000 x1  6 Ta 3.25, 6 Fe 3.25
2 Ta 0.3333 0.6667 0.5000 x1  3 Fe 2.32
3 Fe 0.6667 0.3333 0.5000 x1  3 Ta 2.32

## Properties
Raw total energy ... -8.63 eV per atom
Total magnetization ... 0.00 μB/atom
Formation energy from the elements ... 0.9 eV per formula unit

Which value of formation energy from the elements does entry 5 give?
1.6 eV per formula unit

Look up the total magnetization of the eleventh one.
0.48 μB/atom

Number 4 is which compound?
Y2TaFe